Entry 1:
First-principles (PBE) data for crystalline HfPaAs at its relaxed geometry, as listed in Alexandria.

Calculated values
* E above lowest polymorph: 0.0 kJ per mole of atoms
* space group: I4mm

abc: 5.954 5.954 5.954
angles: 146.01 146.01 48.84
Fractional positions:
Hf 0.000 0.000 0.000
Pa 0.299 0.299 0.000
As 0.616 0.616 0.000



Entry 2:
First-principles (PBE) data for crystalline TlNi2P at its relaxed geometry, as listed in Alexandria.

Calculated values
* space group: Immm

abc: 4.816 4.816 4.816
angles: 138.28 105.63 89.10
Fractional positions:
Tl 0.000 0.000 0.000
Ni 0.314 0.814 0.500
Ni 0.686 0.186 0.500
P 0.500 0.500 0.000



Entry 3:
First-principles (PBE) data for crystalline TbHo2Th3Bi6 at its relaxed geometry, as listed in Alexandria.

Calculated values
* space group: C2/m

abc: 10.138 10.138 9.044
angles: 102.70 102.70 25.89
Fractional positions:
Tb 0.000 0.000 0.000
Ho 0.333 0.333 0.667
Ho 0.667 0.667 0.333
Th 0.000 0.000 0.500
Th 0.334 0.334 0.167
Th 0.666 0.666 0.833
Bi 0.165 0.165 0.090
Bi 0.169 0.169 0.577
Bi 0.497 0.497 0.754
Bi 0.503 0.503 0.246
Bi 0.831 0.831 0.423
Bi 0.835 0.835 0.910



Entry 4:
First-principles (PBE) data for crystalline CePmZnAu at its relaxed geometry, as listed in Alexandria.

Calculated values
* E above lowest polymorph: 2.6 kJ per mole of atoms
* space group: F-43m

abc: 5.207 5.207 5.207
angles: 60.00 60.00 60.00
Fractional positions:
Ce 0.000 0.000 0.000
Pm 0.500 0.500 0.500
Zn 0.750 0.750 0.750
Au 0.250 0.250 0.250



Entry 5:
First-principles (PBE) data for crystalline Ho6Mg2Pd at its relaxed geometry, as listed in Alexandria.

Calculated values
* space group: P2_1/c

abc: 6.643 7.298 11.160
angles: 90.00 107.75 90.00
Fractional positions:
Ho 0.094 0.033 0.250
Ho 0.094 0.467 0.750
Ho 0.170 0.708 0.032
Ho 0.170 0.792 0.532
Ho 0.322 0.161 0.001
Ho 0.322 0.339 0.501
Ho 0.678 0.661 0.499
Ho 0.678 0.839 0.999
Ho 0.830 0.208 0.468
Ho 0.830 0.292 0.968
Ho 0.906 0.533 0.250
Ho 0.906 0.967 0.750
Mg 0.421 0.079 0.743
Mg 0.421 0.421 0.243
Mg 0.579 0.579 0.757
Mg 0.579 0.921 0.257
Pd 0.500 0.000 0.500
Pd 0.500 0.500 0.000



Entry 6:
First-principles (PBE) data for crystalline SmThBiAu at its relaxed geometry, as listed in Alexandria.

Calculated values
* space group: F-43m

abc: 5.408 5.408 5.408
angles: 60.00 60.00 60.00
Fractional positions:
Sm 0.000 0.000 0.000
Th 0.500 0.500 0.500
Bi 0.750 0.750 0.750
Au 0.250 0.250 0.250



It is found that the ΔH_f (0 K) values, taken in the order of the records, are -462 149 -706 -433 -94 -538 meV/atom.
It is found that the N(E_F) values, taken in the order of the records, are 3.631 2.678 6.568 9.409 19.535 4.424 states/eV/cell.